Record 1
VASP calculation (PBE) on an optimized crystal structure of RbMnAu2Br.

Output
DOS(E_F) in states/eV per cell: 3.69
Crystal system: tetragonal
Formation energy (no corrections) in eV per atom: 0.520

a = 6.0953 Å, b = 4.6364 Å, c = 6.0953 Å
α = 90.00°, β = 90.00°, γ = 90.00°
Atoms (fractional coordinates):
Mn (0.0000, 0.5000, 0.0000)
Au (0.0000, 0.0000, 0.5000)
Au (0.5000, 0.0000, 0.0000)
Br (0.0000, 0.0000, 0.0000)
Rb (0.5000, 0.5000, 0.5000)



Record 2
VASP calculation (PBE) on an optimized crystal structure of Ac5La2Rh4.

Output
DOS(E_F) in states/eV per cell: 8.24
E_form in eV/atom: -0.586
Crystal system: triclinic

a = 4.1873 Å, b = 10.3379 Å, c = 9.2830 Å
α = 116.99°, β = 103.02°, γ = 90.01°
Atoms (fractional coordinates):
Ac (0.7362, 0.1499, 0.4728)
Ac (0.2638, 0.8501, 0.5272)
Ac (0.8580, 0.6106, 0.7154)
Ac (0.5000, 0.0000, 0.0000)
Ac (0.1420, 0.3894, 0.2846)
La (0.5607, 0.7011, 0.1198)
La (0.4393, 0.2989, 0.8802)
Rh (0.3131, 0.3864, 0.6264)
Rh (0.8923, 0.0806, 0.7842)
Rh (0.6869, 0.6136, 0.3736)
Rh (0.1077, 0.9194, 0.2158)



Record 3
VASP calculation (PBE) on an optimized crystal structure of ScV2HgBr.

Output
DOS(E_F) in states/eV per cell: 7.60
Crystal system: tetragonal
Formation energy (no corrections) in eV per atom: 1.339

a = 5.0961 Å, b = 5.0961 Å, c = 5.4315 Å
α = 90.00°, β = 90.00°, γ = 90.00°
Atoms (fractional coordinates):
Sc (0.0000, 0.0000, 0.0000)
Hg (0.0000, 0.0000, 0.5000)
Br (0.5000, 0.5000, 0.5000)
V (0.0000, 0.5000, 0.0000)
V (0.5000, 0.0000, 0.0000)



Record 4
VASP calculation (PBE) on an optimized crystal structure of LaSiSCl2.

Output
DOS(E_F) in states/eV per cell: 2.31
Crystal system: tetragonal
Formation energy (no corrections) in eV per atom: -0.742
Offset from the most stable computed form in meV/atom: 32

a = 5.4799 Å, b = 5.4799 Å, c = 5.6613 Å
α = 90.00°, β = 90.00°, γ = 90.00°
Atoms (fractional coordinates):
S (0.0000, 0.0000, 0.5000)
Cl (0.0000, 0.5000, 0.0000)
Cl (0.5000, 0.0000, 0.0000)
Si (0.5000, 0.5000, 0.5000)
La (0.0000, 0.0000, 0.0000)



Record 5
VASP calculation (PBE) on an optimized crystal structure of ScAlCdAu.

Output
DOS(E_F) in states/eV per cell: 1.60
E_form in eV/atom: -0.428
Crystal system: cubic

a = 4.7350 Å, b = 4.7350 Å, c = 4.7350 Å
α = 60.00°, β = 60.00°, γ = 60.00°
Atoms (fractional coordinates):
Sc (0.0000, 0.0000, 0.0000)
Au (0.2500, 0.2500, 0.2500)
Al (0.5000, 0.5000, 0.5000)
Cd (0.7500, 0.7500, 0.7500)



Record 6
VASP calculation (PBE) on an optimized crystal structure of Pr4Si2SCl.

Output
DOS(E_F) in states/eV per cell: 2.23
Crystal system: tetragonal
Formation energy (no corrections) in eV per atom: -1.283

a = 5.9671 Å, b = 5.9671 Å, c = 7.2858 Å
α = 114.18°, β = 114.18°, γ = 89.99°
Atoms (fractional coordinates):
Pr (0.9373, 0.4373, 0.0000)
Pr (0.4373, 0.9373, 0.0000)
Pr (0.1795, 0.1795, 0.4850)
Pr (0.6945, 0.6945, 0.5150)
Si (0.1870, 0.6870, 0.5000)
Si (0.6870, 0.1870, 0.5000)
S (0.9374, 0.9374, 0.0000)
Cl (0.4374, 0.4374, 0.0000)



Record 7
VASP calculation (PBE) on an optimized crystal structure of NaBiSe2.

Output
DOS(E_F) in states/eV per cell: 0.39
Crystal system: cubic
Formation energy (no corrections) in eV per atom: -0.469

a = 5.1725 Å, b = 5.1725 Å, c = 5.1725 Å
α = 60.00°, β = 60.00°, γ = 60.00°
Atoms (fractional coordinates):
Na (0.0000, 0.0000, 0.0000)
Bi (0.5000, 0.5000, 0.5000)
Se (0.2500, 0.2500, 0.2500)
Se (0.7500, 0.7500, 0.7500)



Record 8
VASP calculation (PBE) on an optimized crystal structure of Pu2MoOs3.

Output
DOS(E_F) in states/eV per cell: 17.39
E_form in eV/atom: -0.046
Crystal system: monoclinic

a = 5.5925 Å, b = 5.5925 Å, c = 5.1820 Å
α = 90.23°, β = 122.47°, γ = 119.92°
Atoms (fractional coordinates):
Pu (0.7573, 0.3785, 0.1358)
Pu (0.2427, 0.6215, 0.8642)
Mo (0.0000, 0.0000, 0.0000)
Os (0.5000, 0.5000, 0.5000)
Os (0.0000, 0.0000, 0.5000)
Os (0.5000, 0.0000, 0.5000)